SrSbTe (GGA-PBE, optimized geometry); SG = P-1; uncorrected formation energy = -0.9554 eV per atom; crystal system = triclinic
1.0
4.6291 0.0000 0.0000
0.0358 4.6453 0.0000
1.5351 1.5192 10.1449
Sr Sb Te
2 2 2
direct
0.1848 0.1844 0.1646
0.8152 0.8156 0.8354
0.2064 0.2038 0.5134
0.7936 0.7962 0.4866
0.3159 0.3162 0.8310
0.6841 0.6838 0.1690


Na4Bi4Pb (GGA-PBE, optimized geometry); formation enthalpy at 0 K = -1.44 eV per formula unit; SG = I4/m; crystal system = tetragonal
1.0
-5.3390 5.3390 2.4614
5.3390 -5.3390 2.4614
5.3390 5.3390 -2.4614
Na Bi Pb
4 4 1
direct
0.0005 0.3157 0.3161
0.9995 0.6843 0.6839
0.3157 0.9995 0.3152
0.6843 0.0005 0.6848
0.3355 0.3357 0.6712
0.3357 0.6645 0.0002
0.6643 0.3355 0.9998
0.6645 0.6643 0.3288
0.0000 0.0000 0.0000


Pm5SmHg4 (GGA-PBE, optimized geometry); formation enthalpy at 0 K = -3.71 eV per formula unit; SG = P4/mmm; crystal system = tetragonal
1.0
3.7753 0.0000 0.0000
0.0000 3.7753 0.0000
0.0000 0.0000 20.3800
Pm Sm Hg
5 1 4
direct
0.0000 0.0000 0.0000
0.0000 0.0000 0.1884
0.0000 0.0000 0.3785
0.0000 0.0000 0.6215
0.0000 0.0000 0.8116
0.5000 0.5000 0.5000
0.5000 0.5000 0.0948
0.5000 0.5000 0.2862
0.5000 0.5000 0.7138
0.5000 0.5000 0.9052


MgVCrS4 (GGA-PBE, optimized geometry); SG = Imm2; uncorrected formation energy = -0.9522 eV per atom; crystal system = orthorhombic
1.0
-3.5455 3.6259 5.1831
3.5455 -3.6259 5.1831
3.5455 3.6259 -5.1831
Mg V Cr S
2 2 2 8
direct
0.0000 0.0000 0.0000
0.7542 0.2542 0.5000
0.3704 0.1019 0.7315
0.3704 0.6389 0.2685
0.3702 0.6158 0.7544
0.8614 0.6158 0.2456
0.1116 0.8513 0.2603
0.1335 0.4124 0.2789
0.1335 0.8546 0.7211
0.1644 0.3831 0.7813
0.5910 0.8513 0.7397
0.6018 0.3831 0.2187
0.6051 0.3732 0.7681
0.6051 0.8369 0.2319


MgMnN (GGA-PBE, optimized geometry); SG = P3m1; ΔE to the lowest computed polymorph = 0.039 eV/atom; uncorrected formation energy = -0.3149 eV per atom; crystal system = trigonal
1.0
2.9281 0.0000 0.0000
-1.4640 2.5358 0.0000
0.0000 0.0000 4.6787
Mg Mn N
1 1 1
direct
0.0000 0.0000 0.0000
0.3333 0.6667 0.5002
0.6667 0.3333 0.3019


K2PmNpTe4 (GGA-PBE, optimized geometry); SG = P2/m; uncorrected formation energy = -1.1483 eV per atom; crystal system = monoclinic
1.0
7.9555 0.0000 0.0000
0.0000 4.5808 0.0000
-2.6509 0.0000 8.2176
K Pm Np Te
2 1 1 4
direct
0.0000 0.0000 0.0000
0.5000 0.5000 0.0000
0.0000 0.5000 0.5000
0.5000 0.0000 0.5000
0.2387 0.0000 0.7131
0.2652 0.5000 0.2897
0.7348 0.5000 0.7103
0.7613 0.0000 0.2869


Dy12ErSc7 (GGA-PBE, optimized geometry); formation enthalpy at 0 K = 13.70 eV per formula unit; SG = Im-3m; ΔE to the lowest computed polymorph = 0.515 eV/atom; crystal system = cubic
1.0
-5.4703 5.4703 5.4703
5.4703 -5.4703 5.4703
5.4703 5.4703 -5.4703
Dy Er Sc
12 1 7
direct
0.0000 0.2578 0.7422
0.0000 0.7422 0.2578
0.2578 0.0000 0.7422
0.2578 0.2578 0.5156
0.2578 0.5156 0.2578
0.2578 0.7422 0.0000
0.4844 0.7422 0.7422
0.5156 0.2578 0.2578
0.7422 0.0000 0.2578
0.7422 0.2578 0.0000
0.7422 0.4844 0.7422
0.7422 0.7422 0.4844
0.0000 0.0000 0.0000
0.0000 0.0000 0.5000
0.0000 0.5000 0.0000
0.0000 0.5000 0.5000
0.5000 0.0000 0.0000
0.5000 0.0000 0.5000
0.5000 0.5000 0.0000
0.5000 0.5000 0.5000


Na3Cd3Pd2 (GGA-PBE, optimized geometry); formation enthalpy at 0 K = -1.82 eV per formula unit; SG = P-62m; ΔE to the lowest computed polymorph = 0.000 eV/atom; crystal system = hexagonal
1.0
8.0580 0.0000 0.0000
-4.0290 6.9784 0.0000
0.0000 0.0000 3.0486
Na Cd Pd
3 3 2
direct
0.0000 0.7548 0.0000
0.2452 0.2452 0.0000
0.7548 0.0000 0.0000
0.0000 0.4128 0.5000
0.4128 0.0000 0.5000
0.5872 0.5872 0.5000
0.3333 0.6667 0.0000
0.6667 0.3333 0.0000


Number 1: DOS(E_F) 0.6 states/eV per cell. Number 2: DOS(E_F) 4.2 states/eV per cell. Number 3: DOS(E_F) 11.8 states/eV per cell. Number 4: DOS(E_F) 5.5 states/eV per cell. Number 5: DOS(E_F) 1.4 states/eV per cell. Number 6: DOS(E_F) 7.2 states/eV per cell. Number 7: DOS(E_F) 32.4 states/eV per cell. Number 8: DOS(E_F) 1.8 states/eV per cell.